Record 1
! Cd4CoAg (PBE, optimized geometry); values from VASP
! - formation energy from the elements (eV per atom) = 0.457
! - size of the total moment (Bohr magnetons per cell) = 1.37
! - electronic total energy (eV for the cell shown) = -10.9
&SYSTEM
  ibrav = 0, nat = 6, ntyp = 3
/
ATOMIC_SPECIES
Cd 112.41 Cd.upf
Co 58.93 Co.upf
Ag 107.87 Ag.upf
CELL_PARAMETERS angstrom
0.0000 3.9376 3.9376
3.9376 0.0000 3.9376
3.9376 3.9376 0.0000
ATOMIC_POSITIONS crystal
Cd 0.8742 0.3753 0.3753
Cd 0.3753 0.3753 0.8742
Cd 0.3753 0.8742 0.3753
Cd 0.3753 0.3753 0.3753
Co 0.7500 0.7500 0.7500
Ag 0.0000 0.0000 0.0000

Record 2
! CdCo2Ag2 (PBE, optimized geometry); values from VASP
! - formation energy from the elements (eV per atom) = 0.435
! - size of the total moment (Bohr magnetons per cell) = 6.97
! - electronic total energy (eV for the cell shown) = -37.3
&SYSTEM
  ibrav = 0, nat = 10, ntyp = 3
/
ATOMIC_SPECIES
Co 58.93 Co.upf
Ag 107.87 Ag.upf
Cd 112.41 Cd.upf
CELL_PARAMETERS angstrom
-5.4542 -1.5641 5.0477
-2.0021 -6.1017 -4.0540
1.8287 -1.5863 1.4844
ATOMIC_POSITIONS crystal
Co 0.3962 0.8962 0.0000
Co 0.8962 0.6038 0.0000
Co 0.6038 0.1038 0.0000
Co 0.1038 0.3962 0.0000
Ag 0.1882 0.6882 0.5000
Ag 0.6882 0.8118 0.5000
Ag 0.8118 0.3118 0.5000
Ag 0.3118 0.1882 0.5000
Cd 0.0000 0.0000 0.0000
Cd 0.5000 0.5000 0.0000

The lowest electronic total energy belongs to which entry? CdCo2Ag2